Record 1
The following is a GGA-PBE calculation of a relaxed structure of LiPaCuGe, from Alexandria via LeMat-Bulk.

Cell: 4.7219 4.7219 4.7219 Å, 60.00 60.00 60.00°
Fractional coordinates of all 4 atoms:
Li 0.0000 0.0000 0.0000
Pa 0.5000 0.5000 0.5000
Cu 0.2500 0.2500 0.2500
Ge 0.7500 0.7500 0.7500

## Properties
Space group = No. 216
DFT total energy = -20.72 eV/cell

---

Record 2
The following is a GGA-PBE calculation of a relaxed structure of Ta3TeCl, from Alexandria via LeMat-Bulk.

Cell: 4.6140 4.6140 4.6140 Å, 90.00 90.00 90.00°
Fractional coordinates of all 5 atoms:
Ta 0.0000 0.0000 0.5000
Ta 0.0000 0.5000 0.0000
Ta 0.5000 0.0000 0.0000
Te 0.5000 0.5000 0.5000
Cl 0.0000 0.0000 0.0000

## Properties
Space group = No. 221
Formation energy without anion corrections = 4.93 eV/f.u.
ΔE to the lowest computed polymorph = 0.0 meV/atom

---

Record 3
The following is a GGA-PBE calculation of a relaxed structure of La2CeSb, from Alexandria via LeMat-Bulk.

Cell: 4.9529 4.9529 4.8807 Å, 90.00 90.00 90.00°
Fractional coordinates of all 4 atoms:
La 0.0000 0.5000 0.0000
La 0.5000 0.0000 0.0000
Ce 0.0000 0.0000 0.5000
Sb 0.5000 0.5000 0.5000

## Properties
Space group = No. 123
Formation energy without anion corrections = -2.26 eV/f.u.
ΔE to the lowest computed polymorph = 0.0 meV/atom